[1]
Density functional theory data (GGA-PBE) for a relaxed structure of MnSbPdAu.

Computed properties:
The energy comes out at -88.78 eV per cell. Its energy relative to the elements, uncorrected is -0.108 eV per atom. The value obtained for the density is 11.29 Mg/m³.

a b c (Å): 6.5608 6.5608 6.5608
angles (deg): 90.00 90.00 90.00
With the nearest neighbours (Å) after each atom.
Space group F-43m (No. 216)
Symmetry-distinct sites (fractional):
Mn: 0.0000 0.0000 0.0000 x4  4 Sb 2.84, 4 Au 2.84
Sb: 0.2500 0.2500 0.7500 x4  4 Mn 2.84, 4 Pd 2.84
Pd: 0.0000 0.0000 0.5000 x4  4 Sb 2.84, 4 Au 2.84
Au: 0.2500 0.2500 0.2500 x4  4 Mn 2.84, 4 Pd 2.84

---

[2]
Density functional theory data (GGA-PBE) for a relaxed structure of Sc2MnPdAu.

Computed properties:
The energy comes out at -28.56 eV per cell. The value obtained for the energy of formation from the pure elements is 0.3488 eV/atom. The value obtained for the density is 5.93 Mg/m³.

a b c (Å): 5.0899 5.0899 4.8458
angles (deg): 90.00 90.00 90.00
With the nearest neighbours (Å) after each atom.
Space group P4/mmm (No. 123)
Symmetry-distinct sites (fractional):
Sc: 0.0000 0.5000 0.0000 x2  2 Au 2.54
Mn: 0.0000 0.0000 0.5000 x1  2 Au 2.42
Pd: 0.5000 0.5000 0.5000 x1  8 Sc 3.51, 4 Mn 3.60
Au: 0.0000 0.0000 0.0000 x1  2 Mn 2.42, 4 Sc 2.54

---

[3]
Density functional theory data (GGA-PBE) for a relaxed structure of SmMnPdAu.

Computed properties:
The energy comes out at -96.05 eV per cell. The value obtained for the energy of formation from the pure elements is -0.4132 eV/atom. The value obtained for the density is 10.45 Mg/m³.

a b c (Å): 6.8628 6.8628 6.8628
angles (deg): 90.00 90.00 90.00
With the nearest neighbours (Å) after each atom.
Space group F-43m (No. 216)
Symmetry-distinct sites (fractional):
Sm: 0.0000 0.0000 0.0000 x4  4 Pd 2.97, 4 Au 2.97
Mn: 0.0000 0.0000 0.5000 x4  4 Au 2.97, 4 Pd 2.97
Pd: 0.2500 0.2500 0.7500 x4  4 Mn 2.97, 4 Sm 2.97
Au: 0.2500 0.2500 0.2500 x4  4 Sm 2.97, 4 Mn 2.97

---

[4]
Density functional theory data (GGA-PBE) for a relaxed structure of MnSnPdAu2.

Computed properties:
The energy comes out at -21.38 eV per cell. The value obtained for the energy of formation from the pure elements is 0.7072 eV/atom. The value obtained for the density is 8.63 Mg/m³.

a b c (Å): 5.0940 5.0940 4.9985
angles (deg): 90.00 90.00 90.00
With the nearest neighbours (Å) after each atom.
Space group P4/mmm (No. 123)
Symmetry-distinct sites (fractional):
Mn: 0.0000 0.0000 0.0000 x1  8 Au 3.57, 4 Pd 3.60
Sn: 0.5000 0.5000 0.5000 x1  2 Pd 2.50, 4 Au 2.55
Pd: 0.5000 0.5000 0.0000 x1  2 Sn 2.50
Au: 0.0000 0.5000 0.5000 x2  2 Sn 2.55

---

[5]
Density functional theory data (GGA-PBE) for a relaxed structure of TaMn2PdAu.

Computed properties:
The energy comes out at -32.22 eV per cell. The value obtained for the energy of formation from the pure elements is 1.2889 eV/atom. The value obtained for the density is 8.53 Mg/m³.

a b c (Å): 4.8263 4.8263 4.9669
angles (deg): 90.00 90.00 90.00
With the nearest neighbours (Å) after each atom.
Space group P4/mmm (No. 123)
Symmetry-distinct sites (fractional):
Ta: 0.0000 0.0000 0.0000 x1  2 Au 2.48
Mn: 0.0000 0.5000 0.5000 x2  2 Au 2.41
Pd: 0.5000 0.5000 0.0000 x1  4 Ta 3.41, 8 Mn 3.46
Au: 0.0000 0.0000 0.5000 x1  4 Mn 2.41, 2 Ta 2.48

---

[6]
Density functional theory data (GGA-PBE) for a relaxed structure of TbMnPdAu.

Computed properties:
The energy comes out at -96.60 eV per cell. The value obtained for the energy of formation from the pure elements is -0.4698 eV/atom. The value obtained for the density is 11.02 Mg/m³.

a b c (Å): 6.7807 6.7807 6.7807
angles (deg): 90.00 90.00 90.00
With the nearest neighbours (Å) after each atom.
Space group F-43m (No. 216)
Symmetry-distinct sites (fractional):
Tb: 0.0000 0.0000 0.0000 x4  4 Pd 2.94, 4 Au 2.94
Mn: 0.0000 0.0000 0.5000 x4  4 Pd 2.94, 4 Au 2.94
Pd: 0.2500 0.2500 0.7500 x4  4 Tb 2.94, 4 Mn 2.94
Au: 0.2500 0.2500 0.2500 x4  4 Tb 2.94, 4 Mn 2.94

---

[7]
Density functional theory data (GGA-PBE) for a relaxed structure of Mn2VPd5Au.

Computed properties:
The energy comes out at -221.11 eV per cell. The value obtained for the energy of formation from the pure elements is 0.1580 eV/atom. The value obtained for the density is 10.69 Mg/m³.

a b c (Å): 5.9547 5.9547 15.5952
angles (deg): 90.00 90.00 90.00
With the nearest neighbours (Å) after each atom.
Space group I4/mcm (No. 140)
Symmetry-distinct sites (fractional):
Mn: 0.1096 0.3904 0.0000 x8  1 Mn 1.85
V: 0.0000 0.0000 0.2500 x4  8 Pd 2.78, 4 Au 2.98
Pd: 0.0000 0.0000 0.0000 x4  4 Mn 2.41
Pd: 0.2379 0.2621 0.3659 x16  1 Mn 2.45, 1 Au 2.70
Au: 0.0000 0.5000 0.2500 x4  8 Pd 2.70-2.85, 4 V 2.98

---

[8]
Density functional theory data (GGA-PBE) for a relaxed structure of MnZnPdAu.

Computed properties:
The energy comes out at -39.94 eV per cell. The value obtained for the energy of formation from the pure elements is -0.2637 eV/atom. The value obtained for the density is 11.44 Mg/m³.

a b c (Å): 4.0075 4.0075 7.6587
angles (deg): 90.00 90.00 90.00
With the nearest neighbours (Å) after each atom.
Space group I-4m2 (No. 119)
Symmetry-distinct sites (fractional):
Mn: 0.0000 0.0000 0.0000 x2  4 Pd 2.77, 4 Au 2.77, 4 Zn 2.83
Zn: 0.0000 0.0000 0.5000 x2  4 Pd 2.77, 4 Au 2.77, 4 Mn 2.83
Pd: 0.0000 0.5000 0.7500 x2  4 Mn 2.77, 4 Zn 2.77, 4 Au 2.83
Au: 0.0000 0.5000 0.2500 x2  4 Mn 2.77, 4 Zn 2.77, 4 Pd 2.83

---

[9]
Density functional theory data (GGA-PBE) for a relaxed structure of MnZnPdAu.

Computed properties:
The energy comes out at -79.73 eV per cell. The value obtained for the energy of formation from the pure elements is -0.2549 eV/atom. The value obtained for the density is 11.39 Mg/m³.

a b c (Å): 6.2755 6.2755 6.2755
angles (deg): 90.00 90.00 90.00
With the nearest neighbours (Å) after each atom.
Space group F-43m (No. 216)
Symmetry-distinct sites (fractional):
Mn: 0.0000 0.0000 0.0000 x4  4 Pd 2.72, 4 Au 2.72
Zn: 0.0000 0.0000 0.5000 x4  4 Pd 2.72, 4 Au 2.72
Pd: 0.2500 0.2500 0.2500 x4  4 Mn 2.72, 4 Zn 2.72
Au: 0.2500 0.2500 0.7500 x4  4 Mn 2.72, 4 Zn 2.72

---

[10]
Density functional theory data (GGA-PBE) for a relaxed structure of Pm2MnAu.

Computed properties:
The energy comes out at -22.97 eV per cell. The value obtained for the energy of formation from the pure elements is -0.2560 eV/atom. The value obtained for the density is 9.11 Mg/m³.

a b c (Å): 3.6741 3.6741 7.3210
angles (deg): 90.00 90.00 90.00
With the nearest neighbours (Å) after each atom.
Space group P4/mmm (No. 123)
Symmetry-distinct sites (fractional):
Pm: 0.0000 0.0000 0.2468 x2  4 Mn 3.16, 4 Au 3.19
Mn: 0.5000 0.5000 0.0000 x1  8 Pm 3.16
Au: 0.5000 0.5000 0.5000 x1  8 Pm 3.19

---

[11]
Density functional theory data (GGA-PBE) for a relaxed structure of PmMnPtAu.

Computed properties:
The energy comes out at -100.88 eV per cell. The value obtained for the energy of formation from the pure elements is -0.4953 eV/atom. The value obtained for the density is 12.05 Mg/m³.

a b c (Å): 6.8852 6.8852 6.8852
angles (deg): 90.00 90.00 90.00
With the nearest neighbours (Å) after each atom.
Space group F-43m (No. 216)
Symmetry-distinct sites (fractional):
Pm: 0.0000 0.0000 0.0000 x4  4 Pt 2.98, 4 Au 2.98
Mn: 0.0000 0.0000 0.5000 x4  4 Pt 2.98, 4 Au 2.98
Pt: 0.2500 0.2500 0.7500 x4  4 Mn 2.98, 4 Pm 2.98
Au: 0.2500 0.2500 0.2500 x4  4 Mn 2.98, 4 Pm 2.98

---

[12]
Density functional theory data (GGA-PBE) for a relaxed structure of PmMnRhAu.

Computed properties:
The energy comes out at -102.99 eV per cell. The value obtained for the energy of formation from the pure elements is -0.2999 eV/atom. The value obtained for the density is 10.49 Mg/m³.

a b c (Å): 6.8142 6.8142 6.8142
angles (deg): 90.00 90.00 90.00
With the nearest neighbours (Å) after each atom.
Space group F-43m (No. 216)
Symmetry-distinct sites (fractional):
Pm: 0.0000 0.0000 0.0000 x4  4 Au 2.95, 4 Rh 2.95
Mn: 0.0000 0.0000 0.5000 x4  4 Rh 2.95, 4 Au 2.95
Rh: 0.2500 0.2500 0.2500 x4  4 Mn 2.95, 4 Pm 2.95
Au: 0.2500 0.2500 0.7500 x4  4 Mn 2.95, 4 Pm 2.95

---

> Which formula does entry 9 have?

MnZnPdAu

---

> Which of these has the lowest energy?

Mn2VPd5Au